Entry 1:
## Tb2HoErN4 (PBE-GGA)

Data for an optimized crystal structure of Tb2HoErN4.

a = 6.0069 Å, b = 3.4694 Å, c = 6.0074 Å
α = 90.00°, β = 109.45°, γ = 90.00°
Space group P2/m (No. 10)
Inequivalent atoms, fractional coordinates:
Tb1 0.0000 0.0000 0.0000 (multiplicity 1)
Tb2 0.5000 0.5000 0.0000 (multiplicity 1)
Ho1 0.0000 0.5000 0.5000 (multiplicity 1)
Er1 0.5000 0.0000 0.5000 (multiplicity 1)
N1 0.2495 0.0000 0.7467 (multiplicity 2)
N2 0.2518 0.5000 0.2537 (multiplicity 2)

Output
Formation energy (no corrections) = -1.71 eV/atom
Crystal system = monoclinic
Fermi-level density of states = 0.212 states/eV/f.u.

Entry 2:
## TbHoEr2N4 (PBE-GGA)

Data for an optimized crystal structure of TbHoEr2N4.

a = 5.9769 Å, b = 3.4519 Å, c = 5.9771 Å
α = 90.00°, β = 109.45°, γ = 90.00°
Space group P2/m (No. 10)
Inequivalent atoms, fractional coordinates:
Tb1 0.0000 0.0000 0.0000 (multiplicity 1)
Ho1 0.5000 0.5000 0.0000 (multiplicity 1)
Er1 0.0000 0.5000 0.5000 (multiplicity 1)
Er2 0.5000 0.0000 0.5000 (multiplicity 1)
N1 0.2506 0.0000 0.7478 (multiplicity 2)
N2 0.2523 0.5000 0.2533 (multiplicity 2)

Output
Formation energy (no corrections) = -1.74 eV/atom
Crystal system = monoclinic
Fermi-level density of states = 0.209 states/eV/f.u.

Entry 3:
## HoErTh2N4 (PBE-GGA)

Data for an optimized crystal structure of HoErTh2N4.

a = 6.1486 Å, b = 3.5624 Å, c = 6.1655 Å
α = 90.00°, β = 109.52°, γ = 90.00°
Space group P2/m (No. 10)
Inequivalent atoms, fractional coordinates:
Ho1 0.0000 0.0000 0.0000 (multiplicity 1)
Er1 0.0000 0.5000 0.5000 (multiplicity 1)
Th1 0.5000 0.0000 0.5000 (multiplicity 1)
Th2 0.5000 0.5000 0.0000 (multiplicity 1)
N1 0.2417 0.0000 0.7463 (multiplicity 2)
N2 0.2423 0.5000 0.2483 (multiplicity 2)

Output
Formation energy (no corrections) = -1.63 eV/atom
Crystal system = monoclinic
Fermi-level density of states = 2.506 states/eV/f.u.

Entry 4:
## HoEr2ThN4 (PBE-GGA)

Data for an optimized crystal structure of HoEr2ThN4.

a = 6.0535 Å, b = 3.5055 Å, c = 6.0535 Å
α = 90.00°, β = 109.32°, γ = 90.00°
Space group P2/m (No. 10)
Inequivalent atoms, fractional coordinates:
Ho1 0.0000 0.0000 0.0000 (multiplicity 1)
Er1 0.0000 0.5000 0.5000 (multiplicity 1)
Er2 0.5000 0.0000 0.5000 (multiplicity 1)
Th1 0.5000 0.5000 0.0000 (multiplicity 1)
N1 0.2455 0.0000 0.7444 (multiplicity 2)
N2 0.2500 0.5000 0.2521 (multiplicity 2)

Output
Formation energy (no corrections) = -1.71 eV/atom
Crystal system = monoclinic
Fermi-level density of states = 1.696 states/eV/f.u.

Entry 5:
## HoEr2TmN4 (PBE-GGA)

Data for an optimized crystal structure of HoEr2TmN4.

a = 5.9352 Å, b = 3.4277 Å, c = 5.9352 Å
α = 90.00°, β = 109.45°, γ = 90.00°
Space group P2/m (No. 10)
Inequivalent atoms, fractional coordinates:
Ho1 0.0000 0.0000 0.0000 (multiplicity 1)
Er1 0.5000 0.0000 0.5000 (multiplicity 1)
Er2 0.5000 0.5000 0.0000 (multiplicity 1)
Tm1 0.0000 0.5000 0.5000 (multiplicity 1)
N1 0.2494 0.0000 0.7485 (multiplicity 2)
N2 0.2503 0.5000 0.2514 (multiplicity 2)

Output
Formation energy (no corrections) = -1.78 eV/atom
Crystal system = monoclinic
Fermi-level density of states = 0.204 states/eV/f.u.

Entry 6:
## HoErTm2N4 (PBE-GGA)

Data for an optimized crystal structure of HoErTm2N4.

a = 5.9243 Å, b = 3.4213 Å, c = 5.9243 Å
α = 90.00°, β = 109.46°, γ = 90.00°
Space group P2/m (No. 10)
Inequivalent atoms, fractional coordinates:
Ho1 0.0000 0.0000 0.0000 (multiplicity 1)
Er1 0.0000 0.5000 0.5000 (multiplicity 1)
Tm1 0.5000 0.0000 0.5000 (multiplicity 1)
Tm2 0.5000 0.5000 0.0000 (multiplicity 1)
N1 0.2520 0.0000 0.7501 (multiplicity 2)
N2 0.2525 0.5000 0.2514 (multiplicity 2)

Output
Formation energy (no corrections) = -1.80 eV/atom
Crystal system = monoclinic
Fermi-level density of states = 0.203 states/eV/f.u.

| no. | total magnetic moment (μB per cell) | V (A^3/atom) |
| --- | --- | --- |
| 1 | 0.0 | 14.76 |
| 2 | 0.0 | 14.53 |
| 3 | 0.0 | 15.91 |
| 4 | 0.0 | 15.15 |
| 5 | 0.0 | 14.23 |
| 6 | 0.0 | 14.15 |